Record 1
KThBr4 | GGA-PBE | optimized geometry

Summary:
**ΔE_f (raw)**: -1.61 eV/atom
**Space group**: C2/m (12)
**DFT total energy**: -4.14 eV per atom

Lattice parameters (Å, degrees): 14.845 3.918 8.597 90.00 103.26 90.00
Sites, in units of the cell vectors:
K (0.000, 0.000, 0.000)
K (0.500, 0.500, 0.000)
Th (0.000, 0.500, 0.500)
Th (0.500, 0.000, 0.500)
Br (0.118, 0.500, 0.815)
Br (0.122, 0.000, 0.383)
Br (0.378, 0.500, 0.617)
Br (0.382, 0.000, 0.185)
Br (0.618, 0.000, 0.815)
Br (0.622, 0.500, 0.383)
Br (0.878, 0.000, 0.617)
Br (0.882, 0.500, 0.185)

Record 2
KTh2Br8 | GGA-PBE | optimized geometry

Summary:
**ΔE_f (raw)**: -1.62 eV/atom
**Space group**: C2/m (12)
**DFT total energy**: -4.29 eV per atom

Lattice parameters (Å, degrees): 8.190 8.190 5.865 96.16 96.16 111.55
Sites, in units of the cell vectors:
K (0.000, 0.000, 0.000)
Th (0.319, 0.681, 0.500)
Th (0.681, 0.319, 0.500)
Br (0.057, 0.327, 0.577)
Br (0.256, 0.744, 0.000)
Br (0.327, 0.057, 0.577)
Br (0.396, 0.396, 0.214)
Br (0.604, 0.604, 0.786)
Br (0.673, 0.943, 0.423)
Br (0.744, 0.256, 0.000)
Br (0.943, 0.673, 0.423)

Record 3
K2ThBr6 | GGA-PBE | optimized geometry

Summary:
**ΔE_f (raw)**: -1.79 eV/atom
**Space group**: P2_1/c (14)
**DFT total energy**: -3.97 eV per atom

Lattice parameters (Å, degrees): 7.884 8.430 13.111 90.00 120.94 90.00
Sites, in units of the cell vectors:
K (0.187, 0.090, 0.232)
K (0.187, 0.410, 0.732)
K (0.813, 0.590, 0.268)
K (0.813, 0.910, 0.768)
Th (0.500, 0.000, 0.000)
Th (0.500, 0.500, 0.500)
Br (0.156, 0.180, 0.948)
Br (0.156, 0.320, 0.448)
Br (0.264, 0.719, 0.926)
Br (0.264, 0.781, 0.426)
Br (0.409, 0.054, 0.763)
Br (0.409, 0.446, 0.263)
Br (0.591, 0.554, 0.737)
Br (0.591, 0.946, 0.237)
Br (0.736, 0.219, 0.574)
Br (0.736, 0.281, 0.074)
Br (0.844, 0.680, 0.552)
Br (0.844, 0.820, 0.052)

Record 4
K6ThBr12 | GGA-PBE | optimized geometry

Summary:
**ΔE_f (raw)**: -1.50 eV/atom
**Space group**: R-3 (148)
**DFT total energy**: -3.29 eV per atom

Lattice parameters (Å, degrees): 9.351 9.351 9.351 97.81 97.81 97.81
Sites, in units of the cell vectors:
K (0.158, 0.288, 0.625)
K (0.288, 0.625, 0.158)
K (0.375, 0.842, 0.712)
K (0.625, 0.158, 0.288)
K (0.712, 0.375, 0.842)
K (0.842, 0.712, 0.375)
Th (0.000, 0.000, 0.000)
Br (0.021, 0.939, 0.697)
Br (0.061, 0.303, 0.979)
Br (0.155, 0.581, 0.465)
Br (0.303, 0.979, 0.061)
Br (0.419, 0.535, 0.845)
Br (0.465, 0.155, 0.581)
Br (0.535, 0.845, 0.419)
Br (0.581, 0.465, 0.155)
Br (0.697, 0.021, 0.939)
Br (0.845, 0.419, 0.535)
Br (0.939, 0.697, 0.021)
Br (0.979, 0.061, 0.303)

Record 5
KThTlBr6 | GGA-PBE | optimized geometry

Summary:
**ΔE_f (raw)**: -1.58 eV/atom
**Space group**: P-31c (163)
**DFT total energy**: -3.90 eV per atom

Lattice parameters (Å, degrees): 8.103 8.103 13.495 90.00 90.00 120.00
Sites, in units of the cell vectors:
K (0.333, 0.667, 0.250)
K (0.667, 0.333, 0.750)
Th (0.333, 0.667, 0.750)
Th (0.667, 0.333, 0.250)
Tl (0.000, 0.000, 0.000)
Tl (0.000, 0.000, 0.500)
Br (0.043, 0.378, 0.629)
Br (0.043, 0.665, 0.871)
Br (0.335, 0.378, 0.871)
Br (0.335, 0.957, 0.629)
Br (0.378, 0.043, 0.129)
Br (0.378, 0.335, 0.371)
Br (0.622, 0.665, 0.629)
Br (0.622, 0.957, 0.871)
Br (0.665, 0.043, 0.371)
Br (0.665, 0.622, 0.129)
Br (0.957, 0.335, 0.129)
Br (0.957, 0.622, 0.371)

Record 6
KTi4Br7 | GGA-PBE | optimized geometry

Summary:
**ΔE_f (raw)**: -0.92 eV/atom
**Space group**: Pmmn (59)
**DFT total energy**: -4.62 eV per atom

Lattice parameters (Å, degrees): 4.861 19.667 7.330 90.00 90.00 90.00
Sites, in units of the cell vectors:
K (0.250, 0.250, 0.127)
K (0.750, 0.750, 0.873)
Ti (0.250, 0.503, 0.898)
Ti (0.250, 0.610, 0.131)
Ti (0.250, 0.890, 0.131)
Ti (0.250, 0.997, 0.898)
Ti (0.750, 0.003, 0.102)
Ti (0.750, 0.110, 0.869)
Ti (0.750, 0.390, 0.869)
Ti (0.750, 0.497, 0.102)
Br (0.250, 0.012, 0.264)
Br (0.250, 0.118, 0.731)
Br (0.250, 0.382, 0.731)
Br (0.250, 0.488, 0.264)
Br (0.250, 0.635, 0.786)
Br (0.250, 0.750, 0.190)
Br (0.250, 0.865, 0.786)
Br (0.750, 0.135, 0.214)
Br (0.750, 0.250, 0.810)
Br (0.750, 0.365, 0.214)
Br (0.750, 0.512, 0.736)
Br (0.750, 0.618, 0.269)
Br (0.750, 0.882, 0.269)
Br (0.750, 0.988, 0.736)

no.,total magnetization (μB per formula unit)
1,0.00
2,1.18
3,0.00
4,2.03
5,0.00
6,2.03